Entry 1:
An optimized crystal structure of NbBTeN2, computed with PBE.

The structure in POSCAR format:
```
NbBTeN2
1.0
3.806 0.000 0.000
0.000 3.806 0.000
0.000 0.000 4.480
Nb B Te N
1 1 1 2
Cartesian
0.000 0.000 0.000
1.903 1.903 2.240
1.903 1.903 0.000
0.000 1.903 2.240
1.903 0.000 2.240
```

Values from the calculation:
energy above the most stable polymorph in this dataset: 605 meV per atom
raw formation energy: 1.66 eV/atom
E_tot: -0.2077 hartree per atom
total magnetic moment: 0.003 μB/f.u.
space group: No. 123

***

Entry 2:
An optimized crystal structure of CsRbZnHSe, computed with PBE.

The structure in POSCAR format:
```
CsRbZnHSe
1.0
12.667 0.000 0.000
0.000 4.265 0.000
-3.993 0.000 6.176
Cs Rb Zn H Se
2 2 2 2 2
Cartesian
0.000 0.000 0.000
6.334 2.133 0.000
3.341 0.000 2.527
9.675 2.133 2.527
-0.325 0.000 4.144
6.009 2.133 4.144
-1.984 0.000 4.036
4.349 2.133 4.036
0.559 2.133 2.966
6.892 0.000 2.966
```

Values from the calculation:
energy above the most stable polymorph in this dataset: 16 meV per atom
E_tot: -0.0894 hartree per atom
total magnetic moment: 0.981 μB/f.u.
space group: No. 8

***

Entry 3:
An optimized crystal structure of Ta3CdF, computed with PBE.

The structure in POSCAR format:
```
Ta3CdF
1.0
5.036 0.000 0.000
0.000 5.036 0.000
0.000 0.000 5.036
Ta Cd F
3 1 1
Cartesian
0.000 0.000 2.518
0.000 2.518 0.000
2.518 0.000 0.000
0.000 0.000 0.000
2.518 2.518 2.518
```

Values from the calculation:
energy above the most stable polymorph in this dataset: 2044 meV per atom
raw formation energy: 2.35 eV/atom
E_tot: -0.1954 hartree per atom
total magnetic moment: 0.000 μB/f.u.
space group: No. 221

***

Entry 4:
An optimized crystal structure of BaGa2Sn, computed with PBE.

The structure in POSCAR format:
```
BaGa2Sn
1.0
7.807 0.000 0.000
0.000 4.752 0.000
0.000 0.000 12.088
Ba Ga Sn
4 8 4
Cartesian
1.066 1.188 1.609
2.837 3.564 7.652
4.970 1.188 4.435
6.740 3.564 10.479
0.236 1.188 7.963
1.421 1.188 10.270
2.482 3.564 4.226
3.667 3.564 1.919
4.139 1.188 10.168
5.325 1.188 7.862
6.385 3.564 1.818
7.571 3.564 4.124
1.154 1.188 5.228
2.749 3.564 11.272
5.058 1.188 0.815
6.652 3.564 6.859
```

Values from the calculation:
calculated formation energy: -0.45 eV/atom
E_tot: -0.1266 hartree per atom
total magnetic moment: 0.000 μB/f.u.
space group: No. 62

***

Entry 5:
An optimized crystal structure of CeNpBi, computed with PBE.

The structure in POSCAR format:
```
CeNpBi
1.0
6.158 0.000 0.000
-3.079 5.333 0.000
0.000 0.000 15.956
Ce Np Bi
6 6 6
Cartesian
-1.540 2.667 6.003
-1.540 2.667 15.273
3.079 0.000 4.635
3.079 0.000 11.321
1.540 2.667 0.684
1.540 2.667 9.954
-0.349 3.354 2.659
0.349 3.354 13.297
0.000 3.958 7.978
3.079 1.375 7.978
2.730 1.979 13.297
3.428 1.979 2.659
0.000 0.000 2.659
0.000 0.000 7.978
0.000 0.000 13.297
-1.540 2.667 10.638
3.079 0.000 0.000
1.540 2.667 5.319
```

Values from the calculation:
calculated formation energy: 0.13 eV/atom
E_tot: -0.2739 hartree per atom
total magnetic moment: 5.161 μB/f.u.
space group: No. 180

***

Entry 6:
An optimized crystal structure of NaYPt3, computed with PBE.

The structure in POSCAR format:
```
NaYPt3
1.0
4.665 0.000 0.000
0.000 4.665 0.000
0.000 0.000 4.665
Na Y Pt
1 1 3
Cartesian
0.000 0.000 0.000
2.332 2.332 2.332
0.000 0.000 2.332
0.000 2.332 0.000
2.332 0.000 0.000
```

Values from the calculation:
energy above the most stable polymorph in this dataset: 0 meV per atom
calculated formation energy: 0.34 eV/atom
E_tot: -0.1781 hartree per atom
total magnetic moment: 0.000 μB/f.u.
space group: No. 221

***

Entry 7:
An optimized crystal structure of AcZnAgGe2, computed with PBE.

The structure in POSCAR format:
```
AcZnAgGe2
1.0
4.455 0.000 0.000
0.000 4.455 0.000
0.000 0.000 11.049
Ac Zn Ag Ge
2 2 2 4
Cartesian
0.000 0.000 0.000
2.228 2.228 5.524
0.000 2.228 8.286
2.228 0.000 2.762
0.000 2.228 2.762
2.228 0.000 8.286
0.000 0.000 4.237
0.000 0.000 6.811
2.228 2.228 1.287
2.228 2.228 9.762
```

Values from the calculation:
calculated formation energy: -0.43 eV/atom
E_tot: -0.1443 hartree per atom
total magnetic moment: 0.000 μB/f.u.
space group: No. 119

***

Entry 8:
An optimized crystal structure of KTc2O7, computed with PBE.

The structure in POSCAR format:
```
KTc2O7
1.0
3.085 -5.150 0.000
3.085 5.150 0.000
0.000 0.000 3.813
K Tc O
1 2 7
Cartesian
0.000 0.000 0.000
3.085 1.970 1.907
3.085 -1.970 1.907
1.144 1.536 1.907
3.085 1.979 0.000
1.144 -1.536 1.907
3.085 0.000 1.907
5.026 1.536 1.907
3.085 -1.979 0.000
5.026 -1.536 1.907
```

Values from the calculation:
raw formation energy: -1.27 eV/atom
E_tot: -0.2546 hartree per atom
total magnetic moment: 0.000 μB/f.u.
space group: No. 65

***

Entry 9:
An optimized crystal structure of Ta2TlPb, computed with PBE.

The structure in POSCAR format:
```
Ta2TlPb
1.0
3.494 0.000 0.000
0.000 3.494 0.000
0.000 0.000 7.747
Ta Tl Pb
2 1 1
Cartesian
0.000 0.000 0.000
1.747 1.747 1.265
0.000 0.000 3.182
1.747 1.747 5.784
```

Values from the calculation:
energy above the most stable polymorph in this dataset: 85 meV per atom
calculated formation energy: 0.44 eV/atom
E_tot: -0.2573 hartree per atom
total magnetic moment: 0.000 μB/f.u.
space group: No. 99

***

Entry 10:
An optimized crystal structure of Pr3Nd4Er, computed with PBE.

The structure in POSCAR format:
```
Pr3Nd4Er
1.0
11.893 0.000 0.000
0.000 7.412 0.000
0.000 0.000 6.409
Pr Nd Er
6 8 2
Cartesian
0.000 0.924 0.000
2.977 2.788 1.091
2.970 4.624 4.296
5.946 6.488 3.205
8.916 2.788 1.091
8.923 4.624 4.296
0.000 2.779 3.214
0.000 6.483 3.235
2.939 6.473 1.086
3.007 0.939 4.291
5.946 0.929 0.030
5.946 4.633 0.010
8.886 0.939 4.291
8.954 6.473 1.086
0.000 4.625 0.023
5.946 2.787 3.227
```

Values from the calculation:
energy above the most stable polymorph in this dataset: 20 meV per atom
calculated formation energy: 0.03 eV/atom
E_tot: -0.1732 hartree per atom
total magnetic moment: 0.000 μB/f.u.
space group: No. 31

***

Entry 11:
An optimized crystal structure of NpCuSn2, computed with PBE.

The structure in POSCAR format:
```
NpCuSn2
1.0
4.559 0.000 0.000
0.000 4.559 0.000
0.000 0.000 4.321
Np Cu Sn
1 1 2
Cartesian
0.000 0.000 0.000
2.280 2.280 0.000
0.000 2.280 2.160
2.280 0.000 2.160
```

Values from the calculation:
energy above the most stable polymorph in this dataset: 0 meV per atom
calculated formation energy: 0.03 eV/atom
E_tot: -0.2290 hartree per atom
total magnetic moment: 4.080 μB/f.u.
space group: No. 123

***

Entry 12:
An optimized crystal structure of Tb2Pm4Ho5, computed with PBE.

The structure in POSCAR format:
```
Tb2Pm4Ho5
1.0
9.109 -2.530 0.000
9.109 2.530 0.000
-2.095 0.000 7.716
Tb Pm Ho
2 4 5
Cartesian
3.853 0.000 1.028
12.271 0.000 6.688
0.345 0.000 1.761
4.553 0.000 4.561
11.571 0.000 3.156
15.780 0.000 5.955
1.054 0.000 5.277
7.356 0.000 0.366
8.062 0.000 3.858
8.768 0.000 7.351
15.070 0.000 2.439
```

Values from the calculation:
energy above the most stable polymorph in this dataset: 0 meV per atom
calculated formation energy: 0.02 eV/atom
E_tot: -0.1702 hartree per atom
total magnetic moment: 0.000 μB/f.u.
space group: No. 12

***

> Among the records above, which one has the highest E_tot?

CsRbZnHSe

***

> total magnetic moment of number 1 (NbBTeN2)?

0.003 μB/f.u.